Computed, not measured: a relaxed Cs9K3Rb4 crystal at the GGA-PBE level of DFT.

Unit cell a=21.9344 b=21.9344 c=21.9344 alpha=24.99 beta=24.99 gamma=24.99
Closest atoms and distances in Å follow each position.
Positions (direct):
Cs 0.0020 0.3449 0.6531  2 Rb 4.91-5.15, 2 K 5.06-5.13, 5 Cs 5.35-5.40
Cs 0.0797 0.5961 0.5657  4 Cs 4.74-4.76, 3 Rb 4.83-5.11, 1 K 5.02
Cs 0.1965 0.5374 0.8891  3 K 5.00-5.13, 3 Rb 5.04-5.55, 4 Cs 5.33-5.42
Cs 0.3449 0.6531 0.0020  2 Rb 4.91-5.15, 2 K 5.06-5.13, 5 Cs 5.35-5.40
Cs 0.5374 0.8891 0.1965  3 K 5.00-5.13, 3 Rb 5.04-5.55, 4 Cs 5.33-5.42
Cs 0.5657 0.0797 0.5961  4 Cs 4.74-4.76, 3 Rb 4.83-5.11, 1 K 5.02
Cs 0.5961 0.5657 0.0797  4 Cs 4.74-4.76, 3 Rb 4.83-5.11, 1 K 5.02
Cs 0.6531 0.0020 0.3449  2 Rb 4.91-5.15, 2 K 5.06-5.13, 5 Cs 5.35-5.40
Cs 0.8891 0.1965 0.5374  3 K 5.00-5.13, 3 Rb 5.04-5.55, 4 Cs 5.33-5.42
K 0.2704 0.2704 0.2704  6 Cs 5.04-5.06, 3 K 5.48, 3 Rb 5.48
K 0.8132 0.8132 0.8132  6 Cs 5.00-5.02, 6 Rb 5.48-5.53
K 0.9381 0.9381 0.9381  6 Cs 5.13, 3 K 5.48, 3 Rb 5.48
Rb 0.0573 0.0573 0.0573  9 Cs 4.83-5.11, 1 Rb 4.96
Rb 0.1351 0.1351 0.1351  4 Rb 4.96-5.54, 3 K 5.53
Rb 0.4810 0.4810 0.4810  6 Cs 5.04-5.09, 3 K 5.48, 3 Rb 5.54
Rb 0.6024 0.6024 0.6024  6 Cs 5.11-5.15, 6 K 5.48

Summary:
Space group   No. 146
Energy of formation   0.03 eV/atom
DFT total energy   -14.31 eV per formula unit